[1]
Density functional theory data (GGA-PBE) for an optimized crystal structure of InFe2B.

The structure in POSCAR format:
```
InFe2B
1.0
-2.1321 2.1321 6.6852
2.1321 -2.1321 6.6852
2.1321 2.1321 -6.6852
In Fe B
2 4 2
Direct
0.3750 0.6250 0.7500
0.6250 0.3750 0.2500
0.0000 0.0000 0.0000
0.0000 0.0000 0.5000
0.0000 0.5000 0.0000
0.5000 0.0000 0.5000
0.1250 0.8750 0.2500
0.8750 0.1250 0.7500
```

Summary:
Density   6.5 g cm⁻³
V   15.195 Å³/atom
DFT formation energy   0.720 eV per atom
Fermi-level density of states   8.001 states/eV per cell
Space-group type   I4_1/amd

[2]
Density functional theory data (GGA-PBE) for an optimized crystal structure of ZrTi2Pd6.

The structure in POSCAR format:
```
ZrTi2Pd6
1.0
4.8606 -3.8143 0.0000
4.8606 3.8143 0.0000
-2.1578 0.0000 4.0511
Zr Ti Pd
1 2 6
Direct
0.0000 0.0000 0.0000
0.3391 0.3391 0.3389
0.6609 0.6609 0.6611
0.1453 0.5126 0.8289
0.1974 0.8026 0.5000
0.4874 0.8547 0.1711
0.5126 0.1453 0.8289
0.8026 0.1974 0.5000
0.8547 0.4874 0.1711
```

Summary:
Density   9.1 g cm⁻³
V   16.691 Å³/atom
DFT formation energy   -0.458 eV per atom
Fermi-level density of states   6.437 states/eV per cell
Space-group type   C2/m

[3]
Density functional theory data (GGA-PBE) for an optimized crystal structure of TmFe2C2.

The structure in POSCAR format:
```
TmFe2C2
1.0
0.0000 4.1652 4.4557
2.9767 0.0000 4.4557
2.9767 4.1652 0.0000
Tm Fe C
2 4 4
Direct
0.1250 0.1250 0.1250
0.8750 0.8750 0.8750
0.2404 0.2404 0.5096
0.4904 0.4904 0.7596
0.5096 0.5096 0.2404
0.7596 0.7596 0.4904
0.1849 0.5651 0.1849
0.4349 0.8151 0.4349
0.5651 0.1849 0.5651
0.8151 0.4349 0.8151
```

Summary:
Density   9.2 g cm⁻³
V   11.049 Å³/atom
DFT formation energy   -0.278 eV per atom
Fermi-level density of states   6.081 states/eV per cell
Space-group type   Fddd

[4]
Density functional theory data (GGA-PBE) for an optimized crystal structure of LiCaY.

The structure in POSCAR format:
```
LiCaY
1.0
-1.8603 1.8603 6.6752
1.8603 -1.8603 6.6752
1.8603 1.8603 -6.6752
Li Ca Y
1 1 1
Direct
0.0000 0.0000 0.0000
0.3462 0.3462 0.0000
0.6433 0.6433 0.0000
```

Summary:
Density   2.4 g cm⁻³
V   30.801 Å³/atom
Excess energy over the best structure of this formula in the dataset   0.086 eV/atom
DFT formation energy   0.122 eV per atom
Fermi-level density of states   4.465 states/eV per cell
Space-group type   I4mm

[5]
Density functional theory data (GGA-PBE) for an optimized crystal structure of CdO2.

The structure in POSCAR format:
```
CdO2
1.0
5.4026 0.0000 0.0000
0.0000 5.4026 0.0000
0.0000 0.0000 5.4026
Cd O
4 8
Direct
0.0000 0.0000 0.0000
0.0000 0.5000 0.5000
0.5000 0.0000 0.5000
0.5000 0.5000 0.0000
0.0804 0.5804 0.9196
0.0804 0.9196 0.4196
0.4196 0.0804 0.9196
0.4196 0.4196 0.4196
0.5804 0.5804 0.5804
0.5804 0.9196 0.0804
0.9196 0.0804 0.5804
0.9196 0.4196 0.0804
```

Summary:
Density   6.1 g cm⁻³
V   13.141 Å³/atom
DFT total energy   -4.141 eV per atom
Fermi-level density of states   0.000 states/eV per cell
Space-group type   Pa-3

[6]
Density functional theory data (GGA-PBE) for an optimized crystal structure of BaLi2Tl2.

The structure in POSCAR format:
```
BaLi2Tl2
1.0
8.9484 0.0000 0.0000
0.0000 8.9484 0.0000
0.0000 0.0000 3.5823
Ba Li Tl
2 4 4
Direct
0.0000 0.0000 0.0000
0.5000 0.5000 0.0000
0.1613 0.3387 0.5000
0.3387 0.8387 0.5000
0.6613 0.1613 0.5000
0.8387 0.6613 0.5000
0.1264 0.6264 0.0000
0.3736 0.1264 0.0000
0.6264 0.8736 0.0000
0.8736 0.3736 0.0000
```

Summary:
Density   6.5 g cm⁻³
V   28.685 Å³/atom
Excess energy over the best structure of this formula in the dataset   0.131 eV/atom
DFT formation energy   -0.147 eV per atom
Fermi-level density of states   7.416 states/eV per cell
Space-group type   P4/mbm

[7]
Density functional theory data (GGA-PBE) for an optimized crystal structure of Ta2CrCl.

The structure in POSCAR format:
```
Ta2CrCl
1.0
3.6322 -1.5111 0.0000
3.6322 1.5111 0.0000
-3.6311 0.0000 7.0748
Ta Cr Cl
2 1 1
Direct
0.1233 0.1233 0.3178
0.8767 0.8767 0.6822
0.5000 0.5000 0.5000
0.5000 0.5000 0.0000
```

Summary:
Density   9.6 g cm⁻³
V   19.415 Å³/atom
Excess energy over the best structure of this formula in the dataset   0.233 eV/atom
Fermi-level density of states   1.808 states/eV per cell
Space-group type   C2/m